No. 1
# PBE-GGA K2LiMn, optimized geometry
data_K2LiMn
_chemical_formula_sum 'K8 Li4 Mn4'
_cell_length_a 4.992
_cell_length_b 4.992
_cell_length_c 24.612
_cell_angle_alpha 90.00
_cell_angle_beta 90.00
_cell_angle_gamma 90.00
_space_group_name_H-M_alt 'I -4 2 d'
_space_group_IT_number 122
_space_group_name_Hall 'I -4 2bw'
loop_
_atom_site_label
_atom_site_type_symbol
_atom_site_fract_x
_atom_site_fract_y
_atom_site_fract_z
K1 K 0.250 0.250 0.125
Li1 Li 0.000 0.000 0.000
Mn1 Mn 0.000 0.000 0.500
# Energy relative to the elements = 0.82 eV per atom
# Distance to the lowest polymorph of the same formula = 0.283 eV per atom

=====

No. 2
# PBE-GGA Tb3Fe3Si2C, optimized geometry
data_Tb3Fe3Si2C
_chemical_formula_sum 'Tb3 Fe3 Si2 C1'
_cell_length_a 6.5929
_cell_length_b 6.5929
_cell_length_c 4.0903
_cell_angle_alpha 90.00
_cell_angle_beta 90.00
_cell_angle_gamma 120.00
_space_group_name_H-M_alt 'P -6 2 m'
_space_group_IT_number 189
_space_group_name_Hall 'P -6 -2'
loop_
_atom_site_label
_atom_site_type_symbol
_atom_site_fract_x
_atom_site_fract_y
_atom_site_fract_z
Tb1 Tb 0.0000 0.3747 0.0000
Fe1 Fe 0.0000 0.7879 0.5000
Si1 Si 0.3333 0.6667 0.5000
C1 C 0.0000 0.0000 0.0000
# Formation energy without anion corrections = -0.169 eV/atom

=====

No. 3
# PBE-GGA BaGa2AsSe6, optimized geometry
data_BaGa2AsSe6
_chemical_formula_sum 'Ba4 Ga8 As4 Se24'
_cell_length_a 14.685
_cell_length_b 11.304
_cell_length_c 8.099
_cell_angle_alpha 90.00
_cell_angle_beta 116.14
_cell_angle_gamma 90.00
_space_group_name_H-M_alt 'C 1 2/c 1'
_space_group_IT_number 15
_space_group_name_Hall '-C 2yc'
loop_
_atom_site_label
_atom_site_type_symbol
_atom_site_fract_x
_atom_site_fract_y
_atom_site_fract_z
Ba1 Ba 0.000 0.201 0.250
Ga1 Ga 0.217 0.421 0.156
As1 As 0.000 0.215 0.750
Se1 Se 0.096 0.069 0.661
Se2 Se 0.149 0.447 0.390
Se3 Se 0.164 0.216 0.088
# Formation energy without anion corrections = -0.597 eV/atom

=====

No. 4
# PBE-GGA KHg2Au, optimized geometry
data_KHg2Au
_chemical_formula_sum 'K4 Hg8 Au4'
_cell_length_a 5.306
_cell_length_b 5.306
_cell_length_c 19.878
_cell_angle_alpha 90.00
_cell_angle_beta 90.00
_cell_angle_gamma 90.00
_space_group_name_H-M_alt 'I -4 2 d'
_space_group_IT_number 122
_space_group_name_Hall 'I -4 2bw'
loop_
_atom_site_label
_atom_site_type_symbol
_atom_site_fract_x
_atom_site_fract_y
_atom_site_fract_z
K1 K 0.000 0.000 0.000
Hg1 Hg 0.132 0.250 0.625
Au1 Au 0.000 0.000 0.500
# Energy relative to the elements = -0.14 eV per atom
# Distance to the lowest polymorph of the same formula = 0.127 eV per atom

=====

No. 5
# PBE-GGA LaPrDyN3, optimized geometry
data_LaPrDyN3
_chemical_formula_sum 'La2 Pr2 Dy2 N6'
_cell_length_a 6.228
_cell_length_b 3.630
_cell_length_c 9.341
_cell_angle_alpha 90.00
_cell_angle_beta 101.73
_cell_angle_gamma 90.00
_space_group_name_H-M_alt 'P 1 21/m 1'
_space_group_IT_number 11
_space_group_name_Hall '-P 2yb'
loop_
_atom_site_label
_atom_site_type_symbol
_atom_site_fract_x
_atom_site_fract_y
_atom_site_fract_z
La1 La 0.147 0.250 0.195
Pr1 Pr 0.270 0.750 0.547
Dy1 Dy 0.355 0.250 0.862
N1 N 0.038 0.250 0.680
N2 N 0.259 0.750 0.985
N3 N 0.468 0.750 0.342
# Formation energy without anion corrections = -1.324 eV/atom

=====

No. 6
# PBE-GGA Cd2AgOs, optimized geometry
data_Cd2AgOs
_chemical_formula_sum 'Cd2 Ag1 Os1'
_cell_length_a 4.693
_cell_length_b 4.693
_cell_length_c 3.236
_cell_angle_alpha 90.00
_cell_angle_beta 90.00
_cell_angle_gamma 90.00
_space_group_name_H-M_alt 'P 4/m m m'
_space_group_IT_number 123
_space_group_name_Hall '-P 4 2'
loop_
_atom_site_label
_atom_site_type_symbol
_atom_site_fract_x
_atom_site_fract_y
_atom_site_fract_z
Cd1 Cd 0.000 0.500 0.000
Ag1 Ag 0.000 0.000 0.500
Os1 Os 0.500 0.500 0.500
# Energy relative to the elements = 0.45 eV per atom
# Distance to the lowest polymorph of the same formula = 0.110 eV per atom

=====

No. 7
# PBE-GGA Cs6TlHg3, optimized geometry
data_Cs6TlHg3
_chemical_formula_sum 'Cs12 Tl2 Hg6'
_cell_length_a 10.839
_cell_length_b 8.508
_cell_length_c 15.847
_cell_angle_alpha 90.00
_cell_angle_beta 122.73
_cell_angle_gamma 90.00
_space_group_name_H-M_alt 'P 1 21/c 1'
_space_group_IT_number 14
_space_group_name_Hall '-P 2ybc'
loop_
_atom_site_label
_atom_site_type_symbol
_atom_site_fract_x
_atom_site_fract_y
_atom_site_fract_z
Cs1 Cs 0.090 0.114 0.272
Cs2 Cs 0.254 0.083 0.611
Cs3 Cs 0.378 0.599 0.567
Tl1 Tl 0.500 0.000 0.500
Hg1 Hg 0.000 0.000 0.000
Hg2 Hg 0.347 0.737 0.819
# Energy relative to the elements = -0.11 eV per atom

=====

No. 8
# PBE-GGA Y3Ga5Ni6, optimized geometry
data_Y3Ga5Ni6
_chemical_formula_sum 'Y6 Ga10 Ni12'
_cell_length_a 4.118
_cell_length_b 12.132
_cell_length_c 8.979
_cell_angle_alpha 90.00
_cell_angle_beta 90.00
_cell_angle_gamma 90.00
_space_group_name_H-M_alt 'P m m n'
_space_group_IT_number 59
loop_
_space_group_symop_operation_xyz
'x,y,z'
'-x,-y,-z'
'-x+1/2,-y+1/2,z'
'x+1/2,y+1/2,-z'
'x+1/2,-y,-z'
'-x+1/2,y,z'
'-x,y+1/2,-z'
'x,-y+1/2,z'
loop_
_atom_site_label
_atom_site_type_symbol
_atom_site_fract_x
_atom_site_fract_y
_atom_site_fract_z
Y1 Y 0.250 0.057 0.247
Y2 Y 0.250 0.750 0.268
Ga1 Ga 0.250 0.077 0.590
Ga2 Ga 0.250 0.613 0.989
Ga3 Ga 0.250 0.750 0.760
Ni1 Ni 0.250 0.087 0.867
Ni2 Ni 0.250 0.250 0.038
Ni3 Ni 0.250 0.250 0.438
Ni4 Ni 0.250 0.635 0.537
# Energy relative to the elements = -0.57 eV per atom

=====

No. 9
# PBE-GGA Ce2Pm3ThN6, optimized geometry
data_Ce2Pm3ThN6
_chemical_formula_sum 'Ce4 Pm6 Th2 N12'
_cell_length_a 6.253
_cell_length_b 10.825
_cell_length_c 6.243
_cell_angle_alpha 90.00
_cell_angle_beta 109.49
_cell_angle_gamma 90.00
_space_group_name_H-M_alt 'C 1 2/m 1'
_space_group_IT_number 12
_space_group_name_Hall '-C 2y'
loop_
_atom_site_label
_atom_site_type_symbol
_atom_site_fract_x
_atom_site_fract_y
_atom_site_fract_z
Ce1 Ce 0.000 0.166 0.000
Pm1 Pm 0.000 0.000 0.500
Pm2 Pm 0.000 0.332 0.500
Th1 Th 0.000 0.500 0.000
N1 N 0.244 0.000 0.238
N2 N 0.247 0.332 0.239
# Formation energy without anion corrections = -1.513 eV/atom

=====

No. 10
# PBE-GGA Y2GePd8, optimized geometry
data_Y2GePd8
_chemical_formula_sum 'Y4 Ge2 Pd16'
_cell_length_a 4.673
_cell_length_b 5.921
_cell_length_c 14.072
_cell_angle_alpha 90.00
_cell_angle_beta 90.00
_cell_angle_gamma 90.00
_space_group_name_H-M_alt 'I m m m'
_space_group_IT_number 71
_space_group_name_Hall '-I 2 2'
loop_
_atom_site_label
_atom_site_type_symbol
_atom_site_fract_x
_atom_site_fract_y
_atom_site_fract_z
Y1 Y 0.000 0.000 0.188
Ge1 Ge 0.000 0.000 0.500
Pd1 Pd 0.000 0.257 0.000
Pd2 Pd 0.000 0.258 0.368
Pd3 Pd 0.000 0.500 0.183
# Energy relative to the elements = -0.66 eV per atom

=====

No. 11
# PBE-GGA BaNb3Pt, optimized geometry
data_BaNb3Pt
_chemical_formula_sum 'Ba1 Nb3 Pt1'
_cell_length_a 4.977
_cell_length_b 4.977
_cell_length_c 4.977
_cell_angle_alpha 90.00
_cell_angle_beta 90.00
_cell_angle_gamma 90.00
_space_group_name_H-M_alt 'P m -3 m'
_space_group_IT_number 221
_space_group_name_Hall '-P 4 2 3'
loop_
_atom_site_label
_atom_site_type_symbol
_atom_site_fract_x
_atom_site_fract_y
_atom_site_fract_z
Ba1 Ba 0.000 0.000 0.000
Nb1 Nb 0.000 0.000 0.500
Pt1 Pt 0.500 0.500 0.500
# Energy relative to the elements = 2.55 eV per atom
# Distance to the lowest polymorph of the same formula = 1.645 eV per atom

=====

no.,total energy (eV per atom),total moment (μB/atom),volume (Å³ per cell)
1,-2.502,1.14,613
2,-6.764,0.82,154
3,-3.950,0.00,1207
4,-1.380,0.00,560
5,-7.871,0.00,207
6,-3.523,0.00,71
7,-0.945,0.00,1229
8,-5.517,0.00,449
9,-8.471,0.00,398
10,-6.032,0.00,389
11,-5.082,0.00,123